(1)
Below is a relaxed Ca2TaAu crystal, with properties calculated at the GGA-PBE level.

Cell: 4.5313 4.5900 4.5900 Å, 90.00 90.00 90.00°
Site moments in Bohr magnetons follow the coordinates.
Atoms (fractional coordinates):
Ta1 0.5000 0.5000 0.0000  1.19
Ca1 0.0000 0.0000 0.0000  0.06
Ca2 0.0000 0.5000 0.5000  0.06
Au1 0.5000 0.0000 0.5000  0.04

## Properties
energy above the lowest structure with this stoichiometry	0.2682	eV/atom
calculated formation energy	1.579	eV/f.u.
space group	P4/mmm (123)

---

(2)
Below is a relaxed In2SiOs crystal, with properties calculated at the GGA-PBE level.

Cell: 10.2111 10.2111 7.5742 Å, 47.62 47.62 90.00°
Atoms (fractional coordinates):
In1 0.8750 0.6250 0.2500
In2 0.3750 0.1250 0.7500
In3 0.8750 0.1250 0.2500
Os1 0.0000 0.0000 0.0000
Os2 0.7500 0.2500 0.5000
Si1 0.5000 0.5000 0.0000
In4 0.8750 0.1250 0.7500
Si2 0.2500 0.7500 0.5000

## Properties
formation energy without anion corrections	0.0992	eV per atom
space group	I4_1/amd (141)

---

no.,calculated density (g cm⁻³),total moment (μB per atom),calculated volume (Å³/cell)
1,7.97,0.5154,95
2,6.24,0.0000,239